1.
Here is Sm4Dy3Hg4 after structural relaxation from Alexandria. Energies are from PBE-GGA.

Summary:
formation energy from the elements	-0.2800	eV per atom

a = 3.6461 Å, b = 9.3206 Å, c = 10.6877 Å
α = 115.85°, β = 99.82°, γ = 90.00°
Closest atoms and distances in Å follow each position.
Fractional coordinates of all 11 atoms:
Hg 0.7296 0.2296 0.4593  2 Dy 3.09, 6 Sm 3.24
Hg 0.5000 0.7873 0.0000  2 Sm 3.19, 6 Dy 3.24-3.26
Hg 0.2704 0.7704 0.5407  2 Dy 3.09, 6 Sm 3.24
Hg 0.5000 0.2127 0.0000  2 Sm 3.19, 6 Dy 3.24-3.26
Dy 0.9026 0.9026 0.8051  6 Hg 3.09-3.26
Dy 0.0974 0.0974 0.1949  6 Hg 3.09-3.26
Dy 0.0000 0.5000 0.0000  4 Hg 3.24
Sm 0.3391 0.1571 0.6782  4 Hg 3.19-3.24, 1 Sm 3.39
Sm 0.6609 0.4789 0.3218  4 Hg 3.19-3.24, 1 Sm 3.39
Sm 0.6609 0.8429 0.3218  4 Hg 3.19-3.24, 1 Sm 3.39
Sm 0.3391 0.5211 0.6782  4 Hg 3.19-3.24, 1 Sm 3.39

***

2.
Here is TlV2Si after structural relaxation from Alexandria. Energies are from PBE-GGA.

Summary:
E_form (uncorrected)	273	kJ/mol of formula units

a = 4.1089 Å, b = 4.1089 Å, c = 9.4880 Å
α = 77.49°, β = 77.49°, γ = 90.00°
Closest atoms and distances in Å follow each position.
Fractional coordinates of all 8 atoms:
V 0.3750 0.5187 0.7500  2 V 2.23
V 0.4813 0.1250 0.2500  2 V 2.23
V 0.2687 0.6250 0.2500  2 V 2.23
V 0.8750 0.7313 0.7500  2 V 2.23
Tl 0.7500 0.2500 0.5000  4 Si 2.91, 4 V 2.96
Tl 0.0000 0.0000 0.0000  4 Si 2.91, 4 V 2.96
Si 0.5000 0.5000 0.0000  4 V 2.52
Si 0.2500 0.7500 0.5000  4 V 2.52

***

3.
Here is Li4Pd5Au after structural relaxation from Alexandria. Energies are from PBE-GGA.

Summary:
formation energy from the elements	-0.1790	eV per atom
excess energy over the best structure of this formula in the dataset	208	meV/atom

a = 5.1714 Å, b = 6.0070 Å, c = 6.0070 Å
α = 79.32°, β = 64.50°, γ = 64.50°
Closest atoms and distances in Å follow each position.
Fractional coordinates of all 10 atoms:
Pd 0.8955 0.3840 0.7254  2 Li 2.36-2.49
Pd 0.7019 0.0000 0.0000  4 Li 2.51, 2 Au 2.54-2.63
Pd 0.2795 0.7254 0.6160  2 Li 2.36-2.49
Pd 0.6209 0.2746 0.3840  2 Li 2.36-2.49
Pd 0.0049 0.6160 0.2746  2 Li 2.36-2.49
Li 0.3228 0.3805 0.8813  3 Pd 2.36-2.51, 1 Au 2.55
Li 0.5846 0.6195 0.1187  3 Pd 2.36-2.51, 1 Au 2.55
Li 0.2042 0.1187 0.3805  3 Pd 2.36-2.51, 1 Au 2.55
Li 0.7033 0.8813 0.6195  3 Pd 2.36-2.51, 1 Au 2.55
Au 0.1926 0.0000 0.0000  2 Pd 2.54-2.63, 4 Li 2.55

***

4.
Here is Hf6SbSe after structural relaxation from Alexandria. Energies are from PBE-GGA.

Summary:
E_form (uncorrected)	-246	kJ/mol of formula units

a = 7.4128 Å, b = 7.4195 Å, c = 5.1130 Å
α = 69.80°, β = 69.90°, γ = 40.33°
Closest atoms and distances in Å follow each position.
Fractional coordinates of all 8 atoms:
Se 0.0000 0.0000 0.0000  10 Hf 2.99-3.27
Hf 0.1196 0.1193 0.3803  2 Se 2.99, 2 Sb 2.99, 5 Hf 3.05-3.09
Hf 0.7478 0.7472 0.2528  8 Hf 3.05-3.08, 1 Sb 3.21, 1 Se 3.27
Hf 0.3809 0.3802 0.1193  2 Se 2.99, 2 Sb 2.99, 5 Hf 3.05-3.09
Hf 0.8804 0.8807 0.6197  2 Se 2.99, 2 Sb 2.99, 5 Hf 3.05-3.09
Hf 0.6191 0.6198 0.8807  2 Se 2.99, 2 Sb 2.99, 5 Hf 3.05-3.09
Hf 0.2522 0.2528 0.7472  8 Hf 3.05-3.08, 1 Sb 3.21, 1 Se 3.27
Sb 0.5000 0.5000 0.5000  10 Hf 2.99-3.21

***

5.
Here is InSiOs after structural relaxation from Alexandria. Energies are from PBE-GGA.

Summary:
E_form (uncorrected)	53	kJ/mol of formula units

a = 4.0594 Å, b = 4.0594 Å, c = 3.7662 Å
α = 90.00°, β = 90.00°, γ = 120.00°
Closest atoms and distances in Å follow each position.
Fractional coordinates of all 3 atoms:
In 0.0000 0.0000 0.0000  6 Si 3.01, 6 Os 3.01
Os 0.6667 0.3333 0.4999  3 Si 2.34
Si 0.3333 0.6667 0.5001  3 Os 2.34

***

6.
Here is TaTe2Mo after structural relaxation from Alexandria. Energies are from PBE-GGA.

Summary:
E_form (uncorrected)	89	kJ/mol of formula units
excess energy over the best structure of this formula in the dataset	414	meV/atom

a = 3.1278 Å, b = 3.1278 Å, c = 10.1153 Å
α = 90.00°, β = 90.00°, γ = 108.26°
Closest atoms and distances in Å follow each position.
Fractional coordinates of all 4 atoms:
Te 0.5000 0.5000 0.3125  2 Mo 2.86, 4 Te 3.13
Te 0.0000 0.0000 0.9405  2 Ta 2.91, 4 Te 3.13
Ta 0.5000 0.5000 0.7175  2 Mo 2.64, 2 Te 2.91
Mo 0.0000 0.0000 0.5296  2 Ta 2.64, 2 Te 2.86

***

no.,total energy (eV per cell)
1,-36.97
2,-46.40
3,-38.69
4,-69.88
5,-18.84
6,-28.04